The following is a PBE with a Hubbard U calculation of a geometry-optimized Li7Mn2Co3O12 structure, from Alexandria via LeMat-Bulk.

Computed properties:
Energy above the lowest structure with this stoichiometry in kJ/mol of formula units: 93
E in eV per atom: -5.8569
ρ in Mg/m³: 4.2

```
data_Li7Mn2Co3O12
_chemical_formula_sum 'Li7 Mn2 Co3 O12'
_symmetry_space_group_name_H-M 'P 1'
_symmetry_Int_Tables_number 1
_cell_length_a 6.434
_cell_length_b 6.434
_cell_length_c 11.863
_cell_angle_alpha 103.29
_cell_angle_beta 103.29
_cell_angle_gamma 26.08
loop_
_symmetry_equiv_pos_as_xyz
'x,y,z'
loop_
_atom_site_label
_atom_site_fract_x
_atom_site_fract_y
_atom_site_fract_z
Li1 0.000 0.000 0.000
Li2 0.000 0.000 0.225
Li3 0.326 0.326 0.825
Li4 0.343 0.343 0.303
Li5 0.663 0.663 0.141
Li6 0.667 0.667 0.649
Li7 0.995 0.995 0.465
Mn1 0.663 0.663 0.393
Mn2 0.995 0.995 0.727
Co1 0.331 0.331 0.561
Co2 0.337 0.337 0.067
Co3 0.662 0.662 0.902
O1 0.151 0.151 0.767
O2 0.173 0.173 0.289
O3 0.174 0.174 0.511
O4 0.175 0.175 0.023
O5 0.487 0.487 0.103
O6 0.488 0.488 0.832
O7 0.490 0.490 0.613
O8 0.513 0.513 0.360
O9 0.828 0.828 0.452
O10 0.832 0.832 0.172
O11 0.833 0.833 0.955
O12 0.835 0.835 0.672
```